Record 1
Er2Be4PdPt3 | PBE | optimized geometry Values from VASP.

Output
Total energy in eV per cell: -56.0
Crystal system: tetragonal
Magnetic moment in μB per atom: 0.0000

```
&SYSTEM
  ibrav = 0, nat = 10, ntyp = 4
/
ATOMIC_SPECIES
Be 9.01 Be.upf
Pd 106.42 Pd.upf
Pt 195.08 Pt.upf
Er 167.26 Er.upf
ATOMIC_POSITIONS crystal
Be 0.500 0.000 0.628
Be 0.000 0.000 0.000
Be 0.000 0.500 0.372
Be 0.500 0.500 0.000
Pd 0.500 0.500 0.500
Pt 0.000 0.500 0.129
Pt 0.000 0.000 0.500
Pt 0.500 0.000 0.871
Er 0.000 0.500 0.753
Er 0.500 0.000 0.247
CELL_PARAMETERS angstrom
3.984 0.000 0.000
0.000 3.984 0.000
0.000 0.000 9.531
```

---

Record 2
Ti4Pt2Rh | PBE | optimized geometry Values from VASP.

Output
Total energy in eV per cell: -53.2
Excess energy over the best structure of this formula in the dataset in kJ/mol of atoms: 21.7
Crystal system: tetragonal
Magnetic moment in μB per atom: 0.0000

```
&SYSTEM
  ibrav = 0, nat = 7, ntyp = 3
/
ATOMIC_SPECIES
Ti 47.87 Ti.upf
Pt 195.08 Pt.upf
Rh 102.91 Rh.upf
ATOMIC_POSITIONS crystal
Ti 0.500 0.000 0.000
Ti 0.250 0.750 0.500
Ti 0.000 0.500 0.000
Ti 0.750 0.250 0.500
Pt 0.363 0.363 0.725
Pt 0.637 0.637 0.275
Rh 0.000 0.000 0.000
CELL_PARAMETERS angstrom
4.569 0.000 -1.380
-0.418 4.549 -1.383
-0.604 -0.665 6.252
```

---

Record 3
PrHo7Tm2 | PBE | optimized geometry Values from VASP.

Output
Total energy in eV per cell: -45.3
Excess energy over the best structure of this formula in the dataset in kJ/mol of atoms: 0.0
Crystal system: monoclinic
Magnetic moment in μB per atom: 0.0000

```
&SYSTEM
  ibrav = 0, nat = 10, ntyp = 3
/
ATOMIC_SPECIES
Ho 164.93 Ho.upf
Tm 168.93 Tm.upf
Pr 140.91 Pr.upf
ATOMIC_POSITIONS crystal
Ho 0.752 0.363 0.222
Ho 0.000 0.201 0.402
Ho 0.248 0.637 0.778
Ho 0.247 0.858 0.222
Ho 0.753 0.142 0.778
Ho 0.000 0.799 0.598
Ho 0.500 0.500 0.000
Tm 0.500 0.300 0.601
Tm 0.500 0.700 0.399
Pr 0.000 0.000 0.000
CELL_PARAMETERS angstrom
-1.071 5.297 0.064
-4.905 -6.469 -3.505
-1.531 2.337 8.985
```

---

Record 4
SrLa2Gd | PBE | optimized geometry Values from VASP.

Output
Total energy in eV per cell: -25.0
Excess energy over the best structure of this formula in the dataset in kJ/mol of atoms: 8.2
Crystal system: trigonal
Magnetic moment in μB per atom: 1.8139

```
&SYSTEM
  ibrav = 0, nat = 4, ntyp = 3
/
ATOMIC_SPECIES
La 138.91 La.upf
Gd 157.25 Gd.upf
Sr 87.62 Sr.upf
ATOMIC_POSITIONS crystal
La 0.093 0.093 0.721
La 0.907 0.907 0.279
Gd 0.500 0.500 0.500
Sr 0.000 0.000 0.000
CELL_PARAMETERS angstrom
3.718 0.000 0.000
1.859 3.220 0.000
1.859 1.073 13.245
```

---

Record 5
SmTmHgRu | PBE | optimized geometry Values from VASP.

Output
Total energy in eV per cell: -20.1
Excess energy over the best structure of this formula in the dataset in kJ/mol of atoms: 12.1
Crystal system: cubic
Magnetic moment in μB per atom: 0.0000

```
&SYSTEM
  ibrav = 0, nat = 4, ntyp = 4
/
ATOMIC_SPECIES
Hg 200.59 Hg.upf
Sm 150.36 Sm.upf
Ru 101.07 Ru.upf
Tm 168.93 Tm.upf
ATOMIC_POSITIONS crystal
Hg 0.750 0.750 0.750
Sm 0.000 0.000 0.000
Ru 0.250 0.250 0.250
Tm 0.500 0.500 0.500
CELL_PARAMETERS angstrom
-0.689 -2.523 -4.319
0.138 -5.048 -0.025
-4.243 -2.639 -0.734
```

---

Record 6
SmPuCuGe | PBE | optimized geometry Values from VASP.

Output
Total energy in eV per cell: -29.0
Crystal system: cubic
Magnetic moment in μB per atom: 1.5509

```
&SYSTEM
  ibrav = 0, nat = 4, ntyp = 4
/
ATOMIC_SPECIES
Ge 72.64 Ge.upf
Pu 244.00 Pu.upf
Sm 150.36 Sm.upf
Cu 63.55 Cu.upf
ATOMIC_POSITIONS crystal
Ge 0.000 0.000 0.000
Pu 0.250 0.250 0.250
Sm 0.750 0.750 0.750
Cu 0.500 0.500 0.500
CELL_PARAMETERS angstrom
-2.858 -0.966 -4.042
-0.959 -4.770 -1.328
-4.636 -1.897 0.585
```